{"formula": "AcCeDy", "functional": "GGA-PBE", "state": "relaxed", "de_polymorph_mev_per_atom": 0, "formation_enthalpy_0k_kcal_per_mol_atoms": 2.8, "m_tot_mub_per_atom": 0.144, "cell": [[2.561, -7.859, 0.000], [2.561, 7.859, 0.000], [0.000, 0.000, 5.157]], "species": ["Ac", "Ac", "Ce", "Ce", "Dy", "Dy"], "frac_coords": [[0.092, 0.908, 0.750], [0.908, 0.092, 0.250], [0.249, 0.751, 0.250], [0.751, 0.249, 0.750], [0.409, 0.591, 0.750], [0.591, 0.409, 0.250]]}